Record 1
Material: Tl2FeAs
Method: DFT, PBE
State: optimized geometry

Structure (CIF):
```
data_Tl2FeAs
_chemical_formula_sum 'Tl2 Fe1 As1'
_cell_length_a 3.222
_cell_length_b 3.222
_cell_length_c 8.714
_cell_angle_alpha 90.00
_cell_angle_beta 90.00
_cell_angle_gamma 90.00
_symmetry_space_group_name_H-M 'P 4 m m'
_symmetry_Int_Tables_number 99
loop_
_symmetry_equiv_pos_as_xyz
'x,y,z'
'-y,x,z'
'-x,-y,z'
'y,-x,z'
'-x,y,z'
'y,x,z'
'x,-y,z'
'-y,-x,z'
loop_
_atom_site_label
_atom_site_fract_x
_atom_site_fract_y
_atom_site_fract_z
Tl1 0.000 0.000 0.000
Tl2 0.500 0.500 0.352
Fe1 0.500 0.500 0.739
As1 0.000 0.000 0.639
```

Properties
Formation energy from the elements, meV per atom: 158
Offset from the most stable computed form, meV per atom: 0
Final energy, eV/atom: -4.303
DOS at the Fermi energy, states/eV per cell: 3.6

=====

Record 2
Material: CsSm2Tm
Method: DFT, PBE
State: optimized geometry

Structure (CIF):
```
data_CsSm2Tm
_chemical_formula_sum 'Cs3 Sm6 Tm3'
_cell_length_a 3.6737
_cell_length_b 3.6737
_cell_length_c 39.7033
_cell_angle_alpha 90.00
_cell_angle_beta 90.00
_cell_angle_gamma 120.00
_symmetry_space_group_name_H-M 'R -3 m'
_symmetry_Int_Tables_number 166
_symmetry_space_group_name_Hall '-R 3 2"'
loop_
_atom_site_label
_atom_site_fract_x
_atom_site_fract_y
_atom_site_fract_z
Cs1 0.0000 0.0000 0.0000
Sm1 0.0000 0.0000 0.0962
Tm1 0.0000 0.0000 0.5000
```

Properties
Formation energy from the elements, meV per atom: 299
Final energy, eV/atom: -3.391
DOS at the Fermi energy, states/eV per cell: 12.2

=====

Record 3
Material: Ac3Ga4Ge
Method: DFT, PBE
State: optimized geometry

Structure (CIF):
```
data_Ac3Ga4Ge
_chemical_formula_sum 'Ac6 Ga8 Ge2'
_cell_length_a 4.929
_cell_length_b 6.304
_cell_length_c 15.402
_cell_angle_alpha 90.00
_cell_angle_beta 90.00
_cell_angle_gamma 90.00
_symmetry_space_group_name_H-M 'I m m m'
_symmetry_Int_Tables_number 71
_symmetry_space_group_name_Hall '-I 2 2'
loop_
_atom_site_label
_atom_site_fract_x
_atom_site_fract_y
_atom_site_fract_z
Ac1 0.000 0.000 0.000
Ac2 0.000 0.500 0.191
Ga1 0.000 0.293 0.380
Ge1 0.000 0.000 0.500
```

Properties
Formation energy from the elements, meV per atom: -360
Final energy, eV/atom: -3.992
DOS at the Fermi energy, states/eV per cell: 10.1

=====

Record 4
Material: Li2FeNi
Method: DFT, PBE
State: optimized geometry

Structure (CIF):
```
data_Li2FeNi
_chemical_formula_sum 'Li4 Fe2 Ni2'
_cell_length_a 3.428
_cell_length_b 3.428
_cell_length_c 8.476
_cell_angle_alpha 90.00
_cell_angle_beta 90.00
_cell_angle_gamma 90.00
_symmetry_space_group_name_H-M 'I 4/m m m'
_symmetry_Int_Tables_number 139
_symmetry_space_group_name_Hall '-I 4 2'
loop_
_atom_site_label
_atom_site_fract_x
_atom_site_fract_y
_atom_site_fract_z
Li1 0.000 0.500 0.250
Fe1 0.000 0.000 0.000
Ni1 0.000 0.000 0.500
```

Properties
Formation energy from the elements, meV per atom: 179
Final energy, eV/atom: -4.339
DOS at the Fermi energy, states/eV per cell: 7.0

=====

Record 5
Material: InGa2F7
Method: DFT, PBE
State: optimized geometry

Structure (CIF):
```
data_InGa2F7
_chemical_formula_sum 'In2 Ga4 F14'
_cell_length_a 6.218
_cell_length_b 11.158
_cell_length_c 3.854
_cell_angle_alpha 90.00
_cell_angle_beta 90.00
_cell_angle_gamma 90.00
_symmetry_space_group_name_H-M 'C m m m'
_symmetry_Int_Tables_number 65
_symmetry_space_group_name_Hall '-C 2 2'
loop_
_atom_site_label
_atom_site_fract_x
_atom_site_fract_y
_atom_site_fract_z
In1 0.000 0.000 0.000
Ga1 0.000 0.320 0.500
F1 0.000 0.304 0.000
F2 0.000 0.500 0.500
F3 0.196 0.150 0.500
```

Properties
Final energy, eV/atom: -4.519
ΔE_f (raw), eV per atom: -2.330
DOS at the Fermi energy, states/eV per cell: 0.0

=====

Record 6
Material: Tl6Sn2Sb
Method: DFT, PBE
State: optimized geometry

Structure (CIF):
```
data_Tl6Sn2Sb
_chemical_formula_sum 'Tl12 Sn4 Sb2'
_cell_length_a 10.584
_cell_length_b 8.329
_cell_length_c 8.402
_cell_angle_alpha 90.00
_cell_angle_beta 121.61
_cell_angle_gamma 90.00
_symmetry_space_group_name_H-M 'C 1 2/m 1'
_symmetry_Int_Tables_number 12
loop_
_symmetry_equiv_pos_as_xyz
'x,y,z'
'-x,-y,-z'
'-x,y,-z'
'x,-y,z'
'x+1/2,y+1/2,z'
'-x+1/2,-y+1/2,-z'
'-x+1/2,y+1/2,-z'
'x+1/2,-y+1/2,z'
loop_
_atom_site_label
_atom_site_fract_x
_atom_site_fract_y
_atom_site_fract_z
Tl1 0.163 0.208 0.265
Tl2 0.182 0.000 0.931
Sn1 0.000 0.176 0.500
Sb1 0.000 0.500 0.000
```

Properties
Final energy, eV/atom: -2.827
ΔE_f (raw), eV per atom: 0.098
DOS at the Fermi energy, states/eV per cell: 8.6

=====

Record 7
Material: RbSb2Au5
Method: DFT, PBE
State: optimized geometry

Structure (CIF):
```
data_RbSb2Au5
_chemical_formula_sum 'Rb2 Sb4 Au10'
_cell_length_a 4.799
_cell_length_b 7.523
_cell_length_c 10.972
_cell_angle_alpha 90.00
_cell_angle_beta 90.00
_cell_angle_gamma 90.00
_symmetry_space_group_name_H-M 'I m m m'
_symmetry_Int_Tables_number 71
_symmetry_space_group_name_Hall '-I 2 2'
loop_
_atom_site_label
_atom_site_fract_x
_atom_site_fract_y
_atom_site_fract_z
Rb1 0.000 0.000 0.000
Sb1 0.000 0.500 0.248
Au1 0.000 0.184 0.367
Au2 0.000 0.500 0.000
```

Properties
Final energy, eV/atom: -3.338
ΔE_f (raw), eV per atom: -0.138
DOS at the Fermi energy, states/eV per cell: 4.9

=====

Record 8
Material: LaBe3Pd10
Method: DFT, PBE
State: optimized geometry

Structure (CIF):
```
data_LaBe3Pd10
_chemical_formula_sum 'La8 Be24 Pd80'
_cell_length_a 11.959
_cell_length_b 11.959
_cell_length_c 11.959
_cell_angle_alpha 90.00
_cell_angle_beta 90.00
_cell_angle_gamma 90.00
_symmetry_space_group_name_H-M 'F m -3 m'
_symmetry_Int_Tables_number 225
_symmetry_space_group_name_Hall '-F 4 2 3'
loop_
_atom_site_label
_atom_site_fract_x
_atom_site_fract_y
_atom_site_fract_z
La1 0.250 0.250 0.250
Be1 0.000 0.000 0.229
Pd1 0.000 0.168 0.332
Pd2 0.116 0.116 0.116
```

Properties
Formation energy from the elements, meV per atom: -496
Final energy, eV/atom: -5.356
DOS at the Fermi energy, states/eV per cell: 53.7

=====

Record 9
Material: Ho3TcBi
Method: DFT, PBE
State: optimized geometry

Structure (CIF):
```
data_Ho3TcBi
_chemical_formula_sum 'Ho12 Tc4 Bi4'
_cell_length_a 13.670
_cell_length_b 4.849
_cell_length_c 9.841
_cell_angle_alpha 90.00
_cell_angle_beta 123.59
_cell_angle_gamma 90.00
_symmetry_space_group_name_H-M 'C 1 2/m 1'
_symmetry_Int_Tables_number 12
loop_
_symmetry_equiv_pos_as_xyz
'x,y,z'
'-x,-y,-z'
'-x,y,-z'
'x,-y,z'
'x+1/2,y+1/2,z'
'-x+1/2,-y+1/2,-z'
'-x+1/2,y+1/2,-z'
'x+1/2,-y+1/2,z'
loop_
_atom_site_label
_atom_site_fract_x
_atom_site_fract_y
_atom_site_fract_z
Ho1 0.090 0.000 0.429
Ho2 0.121 0.500 0.741
Ho3 0.150 0.500 0.215
Tc1 0.199 0.500 0.535
Bi1 0.108 0.000 0.951
```

Properties
Formation energy from the elements, meV per atom: -271
Final energy, eV/atom: -5.867
DOS at the Fermi energy, states/eV per cell: 9.9

=====

Record 10
Material: YAuC
Method: DFT, PBE
State: optimized geometry

Structure (CIF):
```
data_YAuC
_chemical_formula_sum 'Y2 Au2 C2'
_cell_length_a 3.682
_cell_length_b 3.596
_cell_length_c 8.175
_cell_angle_alpha 90.00
_cell_angle_beta 97.80
_cell_angle_gamma 90.00
_symmetry_space_group_name_H-M 'P 1 m 1'
_symmetry_Int_Tables_number 6
loop_
_symmetry_equiv_pos_as_xyz
'x,y,z'
'x,-y,z'
loop_
_atom_site_label
_atom_site_fract_x
_atom_site_fract_y
_atom_site_fract_z
Y1 0.000 0.000 0.000
Y2 0.331 0.500 0.393
Au1 0.442 0.500 0.773
Au2 0.892 0.000 0.601
C1 0.493 0.500 0.080
C2 0.783 0.500 0.196
```

Properties
Formation energy from the elements, meV per atom: -353
Final energy, eV/atom: -6.675
DOS at the Fermi energy, states/eV per cell: 2.7